(1)
PBE VFe2CuH, relaxed; space group = P4/mmm (123); energy above the lowest structure with this stoichiometry = 41 meV per atom
1.0
3.712 0.000 0.000
0.000 3.712 0.000
0.000 0.000 3.492
V Fe Cu H
1 2 1 1
Direct
0.000 0.000 0.000
0.000 0.500 0.500
0.500 0.000 0.500
0.500 0.500 0.000
0.500 0.500 0.500



(2)
PBE V2FeCuH, relaxed; space group = P4/mmm (123); energy above the lowest structure with this stoichiometry = 0 meV per atom
1.0
3.737 0.000 0.000
0.000 3.737 0.000
0.000 0.000 3.655
V Fe Cu H
2 1 1 1
Direct
0.000 0.500 0.000
0.500 0.000 0.000
0.000 0.000 0.500
0.500 0.500 0.500
0.000 0.000 0.000



(3)
PBE V2FeCuH, relaxed; space group = P4/mmm (123); energy above the lowest structure with this stoichiometry = 46 meV per atom
1.0
3.733 0.000 0.000
0.000 3.733 0.000
0.000 0.000 3.707
V Fe Cu H
2 1 1 1
Direct
0.000 0.500 0.000
0.500 0.000 0.000
0.000 0.000 0.500
0.500 0.500 0.500
0.500 0.500 0.000



(4)
PBE Y2FeCuH, relaxed; electronic total energy = -5.9421 eV per atom; space group = P4/mmm (123)
1.0
4.890 0.000 0.000
0.000 4.890 0.000
0.000 0.000 3.436
Y Fe Cu H
2 1 1 1
Direct
0.000 0.500 0.000
0.500 0.000 0.000
0.000 0.000 0.500
0.500 0.500 0.500
0.000 0.000 0.000



Spin magnetization: 1.01; 0.63; 0.99; 0.61 (Bohr magnetons per cell)